[1]
Na2Sc2Se | PBE | relaxed

Fermi-level density of states, states/eV per cell: 4.81
V, Å³/f.u.: 123.68
Symmetry: I4/mmm (139)
Offset from the most stable computed form, meV/atom: 248.0
ΔE_f (raw), kJ/mol of atoms: -4.65

abc: 3.6838 3.6838 9.4789
angles: 78.80 78.80 90.00
Last column: nearest neighbours and their distance in Å.
Element x y z (fractional)
1 Na 0.7500 0.2500 0.5000  4 Na 2.60
2 Sc 0.4184 0.4184 0.1631  1 Sc 2.97, 4 Se 3.00
3 Na 0.2500 0.7500 0.5000  4 Na 2.60
4 Se 0.0000 0.0000 0.0000  8 Sc 3.00
5 Sc 0.5816 0.5816 0.8369  1 Sc 2.97, 4 Se 3.00

---

[2]
NaSc5Se8 | PBE | relaxed

V, Å³/f.u.: 368.95
Symmetry: F-43m (216)
ΔE_f (raw), kJ/mol of atoms: -153.91

abc: 8.0506 8.0506 8.0506
angles: 60.00 60.00 60.00
Last column: nearest neighbours and their distance in Å.
Element x y z (fractional)
1 Sc 0.1416 0.6195 0.6195  6 Se 2.65-2.83
2 Sc 0.6195 0.1416 0.6195  6 Se 2.65-2.83
3 Sc 0.6195 0.6195 0.1416  6 Se 2.65-2.83
4 Na 0.2500 0.2500 0.2500  4 Se 2.70
5 Se 0.3974 0.8675 0.8675  4 Sc 2.61-2.83
6 Sc 0.0000 0.0000 0.0000  4 Se 2.61
7 Se 0.8675 0.3974 0.8675  4 Sc 2.61-2.83
8 Se 0.8675 0.8675 0.3974  4 Sc 2.61-2.83
9 Sc 0.6195 0.6195 0.6195  6 Se 2.65-2.83
10 Se 0.3867 0.8399 0.3867  3 Sc 2.65, 1 Na 2.70
11 Se 0.3867 0.3867 0.3867  3 Sc 2.65, 1 Na 2.70
12 Se 0.8675 0.8675 0.8675  4 Sc 2.61-2.83
13 Se 0.3867 0.3867 0.8399  3 Sc 2.65, 1 Na 2.70
14 Se 0.8399 0.3867 0.3867  3 Sc 2.65, 1 Na 2.70

---

[3]
NaScSe2 | PBE | relaxed

Fermi-level density of states, states/eV per cell: 0.00
V, Å³/f.u.: 83.18
Symmetry: Fm-3m (225)
ΔE_f (raw), kJ/mol of atoms: -109.98

abc: 4.8999 4.8999 4.8999
angles: 60.00 60.00 60.00
Last column: nearest neighbours and their distance in Å.
Element x y z (fractional)
1 Se 0.7500 0.7500 0.7500  4 Na 3.00, 4 Sc 3.00
2 Se 0.2500 0.2500 0.2500  4 Sc 3.00, 4 Na 3.00
3 Sc 0.5000 0.5000 0.5000  8 Se 3.00
4 Na 0.0000 0.0000 0.0000  8 Se 3.00

---

[4]
Na2Sc2Se | PBE | relaxed

Fermi-level density of states, states/eV per cell: 4.73
V, Å³/f.u.: 145.49
Symmetry: P4/mbm (127)
Offset from the most stable computed form, meV/atom: 0.0
ΔE_f (raw), kJ/mol of atoms: -28.58

abc: 6.9597 6.9597 6.0072
angles: 90.00 90.00 90.00
Last column: nearest neighbours and their distance in Å.
Element x y z (fractional)
1 Na 0.8414 0.3414 0.5000  1 Na 3.12, 2 Sc 3.50
2 Na 0.6586 0.8414 0.5000  1 Na 3.12, 2 Sc 3.50
3 Sc 0.6598 0.1598 0.0000  2 Se 2.62
4 Se 0.5000 0.5000 0.0000  4 Sc 2.62
5 Sc 0.3402 0.8402 0.0000  2 Se 2.62
6 Sc 0.1598 0.3402 0.0000  2 Se 2.62
7 Sc 0.8402 0.6598 0.0000  2 Se 2.62
8 Na 0.3414 0.1586 0.5000  1 Na 3.12, 2 Sc 3.50
9 Se 0.0000 0.0000 0.0000  4 Sc 2.62
10 Na 0.1586 0.6586 0.5000  1 Na 3.12, 2 Sc 3.50

---

[5]
NaScSe3 | PBE | relaxed

Fermi-level density of states, states/eV per cell: 6.17
V, Å³/f.u.: 142.22
Symmetry: Pm-3m (221)
Offset from the most stable computed form, meV/atom: 0.0
ΔE_f (raw), kJ/mol of atoms: -82.81

abc: 5.2198 5.2198 5.2198
angles: 90.00 90.00 90.00
Last column: nearest neighbours and their distance in Å.
Element x y z (fractional)
1 Na 0.5000 0.5000 0.5000  12 Se 3.69
2 Se 0.0000 0.5000 0.0000  2 Sc 2.61
3 Se 0.5000 0.0000 0.0000  2 Sc 2.61
4 Sc 0.0000 0.0000 0.0000  6 Se 2.61
5 Se 0.0000 0.0000 0.5000  2 Sc 2.61

---

[6]
NaScSe3 | PBE | relaxed

Fermi-level density of states, states/eV per cell: 4.68
V, Å³/f.u.: 126.97
Symmetry: Pm-3m (221)
Offset from the most stable computed form, meV/atom: 970.4
ΔE_f (raw), kJ/mol of atoms: 10.82

abc: 5.0262 5.0262 5.0262
angles: 90.00 90.00 90.00
Last column: nearest neighbours and their distance in Å.
Element x y z (fractional)
1 Se 0.5000 0.0000 0.0000  2 Na 2.51
2 Na 0.0000 0.0000 0.0000  6 Se 2.51
3 Sc 0.5000 0.5000 0.5000  12 Se 3.55
4 Se 0.0000 0.5000 0.0000  2 Na 2.51
5 Se 0.0000 0.0000 0.5000  2 Na 2.51

---

[7]
NaSc2Se | PBE | relaxed

Fermi-level density of states, states/eV per cell: 4.75
V, Å³/f.u.: 110.87
Symmetry: R-3m (166)
ΔE_f (raw), kJ/mol of atoms: -47.25

abc: 3.6021 3.6021 10.0833
angles: 79.71 79.71 60.00
Last column: nearest neighbours and their distance in Å.
Element x y z (fractional)
1 Na 0.0000 0.0000 0.0000  2 Sc 3.30, 6 Na 3.60
2 Sc 0.1116 0.1116 0.6651  3 Se 2.64
3 Sc 0.8884 0.8884 0.3349  3 Se 2.64
4 Se 0.5000 0.5000 0.5000  6 Sc 2.64

---

[8]
NaScSe2 | PBE | relaxed

V, Å³/f.u.: 95.01
Symmetry: R3m (160)
ΔE_f (raw), kJ/mol of atoms: -150.94

abc: 3.9214 3.9214 7.4848
angles: 74.81 74.81 60.00
Last column: nearest neighbours and their distance in Å.
Element x y z (fractional)
1 Se 0.2622 0.2622 0.2135  3 Sc 2.74
2 Se 0.0721 0.0721 0.7837  3 Sc 2.73, 3 Na 3.01
3 Na 0.4984 0.4984 0.5049  6 Se 3.01-3.07
4 Sc 0.6674 0.6674 0.9979  6 Se 2.73-2.74

---

[9]
Na2ScSe2 | PBE | relaxed

Fermi-level density of states, states/eV per cell: 1.77
V, Å³/f.u.: 117.85
Symmetry: P4/mbm (127)
ΔE_f (raw), kJ/mol of atoms: -101.81

abc: 7.4521 7.4521 4.2444
angles: 90.00 90.00 90.00
Last column: nearest neighbours and their distance in Å.
Element x y z (fractional)
1 Se 0.8214 0.6786 0.0000  2 Sc 2.74, 2 Na 2.88
2 Se 0.6786 0.1786 0.0000  2 Sc 2.74, 2 Na 2.88
3 Se 0.3214 0.8214 0.0000  2 Sc 2.74, 2 Na 2.88
4 Na 0.1365 0.6365 0.5000  1 Na 2.88, 6 Se 2.88-3.18
5 Na 0.6365 0.8635 0.5000  1 Na 2.88, 6 Se 2.88-3.18
6 Se 0.1786 0.3214 0.0000  2 Sc 2.74, 2 Na 2.88
7 Na 0.8635 0.3635 0.5000  1 Na 2.88, 6 Se 2.88-3.18
8 Sc 0.5000 0.5000 0.0000  4 Se 2.74
9 Sc 0.0000 0.0000 0.0000  4 Se 2.74
10 Na 0.3635 0.1365 0.5000  1 Na 2.88, 6 Se 2.88-3.18

---

[10]
NaSc3Se | PBE | relaxed

Fermi-level density of states, states/eV per cell: 5.72
V, Å³/f.u.: 135.60
Symmetry: Pm-3m (221)
Offset from the most stable computed form, meV/atom: 1048.7
ΔE_f (raw), kJ/mol of atoms: 79.83

abc: 5.1375 5.1375 5.1375
angles: 90.00 90.00 90.00
Last column: nearest neighbours and their distance in Å.
Element x y z (fractional)
1 Sc 0.5000 0.0000 0.0000  2 Na 2.57
2 Sc 0.0000 0.0000 0.5000  2 Na 2.57
3 Se 0.5000 0.5000 0.5000  12 Sc 3.63
4 Sc 0.0000 0.5000 0.0000  2 Na 2.57
5 Na 0.0000 0.0000 0.0000  6 Sc 2.57

---

[11]
NaSc2Se2 | PBE | relaxed

Fermi-level density of states, states/eV per cell: 4.06
V, Å³/f.u.: 133.74
Symmetry: I4/mmm (139)
Offset from the most stable computed form, meV/atom: 42.7
ΔE_f (raw), kJ/mol of atoms: -102.09

abc: 4.5637 4.5637 7.1867
angles: 71.49 71.49 90.00
Last column: nearest neighbours and their distance in Å.
Element x y z (fractional)
1 Se 0.6420 0.6420 0.7160  4 Sc 2.67
2 Na 0.0000 0.0000 0.0000  8 Se 3.71, 8 Sc 3.94
3 Se 0.3580 0.3580 0.2840  4 Sc 2.67
4 Sc 0.2500 0.7500 0.5000  4 Se 2.67
5 Sc 0.7500 0.2500 0.5000  4 Se 2.67

---

[12]
NaScSe2 | PBE | relaxed

Fermi-level density of states, states/eV per cell: 0.00
V, Å³/f.u.: 124.90
Symmetry: I-42d (122)
ΔE_f (raw), kJ/mol of atoms: -134.93

abc: 6.6587 6.6587 7.3424
angles: 63.04 63.04 90.00
Last column: nearest neighbours and their distance in Å.
Element x y z (fractional)
1 Na 0.5000 0.5000 0.0000  4 Se 2.93
2 Sc 0.7500 0.2500 0.5000  4 Se 2.58
3 Se 0.0808 0.6250 0.2500  2 Sc 2.58
4 Sc 0.0000 0.0000 0.0000  4 Se 2.58
5 Se 0.8750 0.9192 0.7500  2 Sc 2.58
6 Se 0.3750 0.3308 0.7500  2 Sc 2.58
7 Na 0.2500 0.7500 0.5000  4 Se 2.93
8 Se 0.6692 0.1250 0.2500  2 Sc 2.58

---

[13]
NaSc2Se2 | PBE | relaxed

Fermi-level density of states, states/eV per cell: 6.18
V, Å³/f.u.: 102.86
Symmetry: P4/mbm (127)
Offset from the most stable computed form, meV/atom: 0.0
ΔE_f (raw), kJ/mol of atoms: -106.21

abc: 7.5633 7.5633 3.5963
angles: 90.00 90.00 90.00
Last column: nearest neighbours and their distance in Å.
Element x y z (fractional)
1 Na 0.0000 0.0000 0.0000  4 Se 2.88
2 Sc 0.8534 0.3534 0.5000  6 Se 2.83-2.87, 1 Sc 3.14
3 Se 0.3505 0.8505 0.0000  6 Sc 2.83-2.87, 2 Na 2.88
4 Se 0.1495 0.3505 0.0000  6 Sc 2.83-2.87, 2 Na 2.88
5 Se 0.6495 0.1495 0.0000  6 Sc 2.83-2.87, 2 Na 2.88
6 Sc 0.3534 0.1466 0.5000  6 Se 2.83-2.87, 1 Sc 3.14
7 Na 0.5000 0.5000 0.0000  4 Se 2.88
8 Sc 0.1466 0.6466 0.5000  6 Se 2.83-2.87, 1 Sc 3.14
9 Sc 0.6466 0.8534 0.5000  6 Se 2.83-2.87, 1 Sc 3.14
10 Se 0.8505 0.6495 0.0000  6 Sc 2.83-2.87, 2 Na 2.88

---

[14]
Na4SmSc3Se8 | PBE | relaxed

V, Å³/f.u.: 390.56
Symmetry: R-3m (166)
ΔE_f (raw), kJ/mol of atoms: -154.34

abc: 8.0412 8.3793 8.0412
angles: 118.68 120.00 90.00
Last column: nearest neighbours and their distance in Å.
Element x y z (fractional)
1 Na 0.0000 0.0000 0.5000  6 Se 3.05-3.06
2 Se 0.2489 0.7239 0.9751  2 Sc 2.76, 1 Sm 2.89, 3 Na 2.94-3.06
3 Se 0.7388 0.7163 0.4776  3 Sc 2.77, 3 Na 3.05
4 Se 0.7262 0.7239 0.9751  2 Sc 2.76, 1 Sm 2.89, 3 Na 2.94-3.06
5 Se 0.7511 0.2761 0.0249  2 Sc 2.76, 1 Sm 2.89, 3 Na 2.94-3.06
6 Sc 0.0000 0.5000 0.5000  6 Se 2.76-2.77
7 Se 0.2612 0.2837 0.5224  3 Sc 2.77, 3 Na 3.05
8 Se 0.2489 0.7239 0.4977  2 Sc 2.76, 1 Sm 2.89, 3 Na 2.94-3.06
9 Na 0.5000 0.0000 0.5000  6 Se 3.05-3.06
10 Se 0.2738 0.2761 0.0249  2 Sc 2.76, 1 Sm 2.89, 3 Na 2.94-3.06
11 Sc 0.5000 0.5000 0.0000  6 Se 2.76-2.77
12 Se 0.7511 0.2761 0.5023  2 Sc 2.76, 1 Sm 2.89, 3 Na 2.94-3.06
13 Na 0.5000 0.0000 0.0000  6 Se 2.94
14 Na 0.0000 0.0000 0.0000  6 Se 3.05-3.06
15 Sc 0.5000 0.5000 0.5000  6 Se 2.76-2.77
16 Sm 0.0000 0.5000 0.0000  6 Se 2.89

---

[15]
NaSm4Sc3Se8 | PBE | relaxed

Fermi-level density of states, states/eV per cell: 8.39
V, Å³/f.u.: 376.97
Symmetry: R-3m (166)
ΔE_f (raw), kJ/mol of atoms: -162.39

abc: 8.1068 8.1102 8.1069
angles: 119.99 120.00 90.00
Last column: nearest neighbours and their distance in Å.
Element x y z (fractional)
1 Sm 0.0000 0.0000 0.0000  6 Se 2.96
2 Se 0.2576 0.2728 0.5152  3 Sc 2.78, 3 Sm 2.96
3 Se 0.7424 0.7272 0.4848  3 Sc 2.78, 3 Sm 2.96
4 Sc 0.5000 0.5000 0.0000  6 Se 2.78
5 Se 0.7540 0.2693 0.0154  2 Sc 2.78, 1 Na 2.82, 3 Sm 2.91-2.96
6 Se 0.2614 0.2693 0.0154  2 Sc 2.78, 1 Na 2.82, 3 Sm 2.91-2.96
7 Se 0.7386 0.7307 0.9846  2 Sc 2.78, 1 Na 2.82, 3 Sm 2.91-2.96
8 Se 0.2461 0.7307 0.4921  2 Sc 2.78, 1 Na 2.82, 3 Sm 2.91-2.96
9 Se 0.7539 0.2693 0.5079  2 Sc 2.78, 1 Na 2.82, 3 Sm 2.91-2.96
10 Sm 0.5000 0.0000 0.0000  6 Se 2.91
11 Se 0.2460 0.7307 0.9846  2 Sc 2.78, 1 Na 2.82, 3 Sm 2.91-2.96
12 Sm 0.5000 0.0000 0.5000  6 Se 2.96
13 Sm 0.0000 0.0000 0.5000  6 Se 2.96
14 Na 0.0000 0.5000 0.0000  6 Se 2.82
15 Sc 0.0000 0.5000 0.5000  6 Se 2.78
16 Sc 0.5000 0.5000 0.5000  6 Se 2.78

---

[16]
Na3Sm2ScSe6 | PBE | relaxed

Fermi-level density of states, states/eV per cell: 0.00
V, Å³/f.u.: 311.66
Symmetry: C2/m (12)
ΔE_f (raw), kJ/mol of atoms: -158.97

abc: 7.1726 7.1726 7.3970
angles: 99.33 99.33 120.02
Last column: nearest neighbours and their distance in Å.
Element x y z (fractional)
1 Se 0.0762 0.3933 0.2288  1 Sc 2.78, 2 Sm 2.93, 2 Na 3.01
2 Se 0.9238 0.6067 0.7712  1 Sc 2.78, 2 Sm 2.93, 2 Na 3.01
3 Se 0.7598 0.7598 0.2273  1 Sc 2.77, 2 Sm 2.92, 2 Na 3.03
4 Se 0.3933 0.0762 0.2288  1 Sc 2.78, 2 Sm 2.93, 2 Na 3.01
5 Na 0.8314 0.1686 0.5000  6 Se 3.01-3.13
6 Se 0.6067 0.9238 0.7712  1 Sc 2.78, 2 Sm 2.93, 2 Na 3.01
7 Na 0.1686 0.8314 0.5000  6 Se 3.01-3.13
8 Se 0.2402 0.2402 0.7727  1 Sc 2.77, 2 Sm 2.92, 2 Na 3.03
9 Sc 0.0000 0.0000 0.0000  6 Se 2.77-2.78
10 Sm 0.3337 0.6663 0.0000  6 Se 2.92-2.93
11 Na 0.5000 0.5000 0.5000  6 Se 3.01-3.16
12 Sm 0.6663 0.3337 0.0000  6 Se 2.92-2.93

---

[17]
NaSm3Sc2Se6 | PBE | relaxed

Fermi-level density of states, states/eV per cell: 4.51
V, Å³/f.u.: 286.34
Symmetry: C2/m (12)
ΔE_f (raw), kJ/mol of atoms: -162.77

abc: 4.0609 8.1651 9.0916
angles: 102.64 102.90 90.00
Last column: nearest neighbours and their distance in Å.
Element x y z (fractional)
1 Sm 0.8396 0.1743 0.6792  6 Se 2.91-3.00
2 Se 0.9917 0.7514 0.9834  1 Sc 2.72, 2 Na 2.85, 3 Sm 2.91
3 Sm 0.1604 0.8257 0.3208  6 Se 2.91-3.00
4 Se 0.0083 0.2486 0.0166  1 Sc 2.72, 2 Na 2.85, 3 Sm 2.91
5 Sc 0.8346 0.6557 0.6692  6 Se 2.72-2.86
6 Se 0.3280 0.4262 0.6560  3 Sc 2.75-2.81, 3 Sm 2.93-2.97
7 Se 0.3311 0.9001 0.6623  2 Sc 2.86, 1 Na 2.92, 3 Sm 2.95-3.00
8 Na 0.5000 0.0000 0.0000  6 Se 2.85-2.92
9 Se 0.6720 0.5738 0.3440  3 Sc 2.75-2.81, 3 Sm 2.93-2.97
10 Sm 0.5000 0.5000 0.0000  6 Se 2.91-2.97
11 Sc 0.1654 0.3443 0.3308  6 Se 2.72-2.86
12 Se 0.6689 0.0999 0.3377  2 Sc 2.86, 1 Na 2.92, 3 Sm 2.95-3.00

---

[18]
NaSmSc2Se4 | PBE | relaxed

Fermi-level density of states, states/eV per cell: 3.23
V, Å³/f.u.: 183.62
Symmetry: P2/m (10)
ΔE_f (raw), kJ/mol of atoms: -158.97

abc: 3.9683 6.9267 7.0510
angles: 108.67 90.00 90.00
Last column: nearest neighbours and their distance in Å.
Element x y z (fractional)
1 Se 0.0000 0.7601 0.2701  3 Sc 2.76-2.78, 1 Na 2.90, 2 Sm 2.93
2 Se 0.0000 0.2399 0.7299  3 Sc 2.76-2.78, 1 Na 2.90, 2 Sm 2.93
3 Sm 0.5000 0.5000 0.0000  6 Se 2.93
4 Se 0.5000 0.7432 0.7284  3 Sc 2.76, 1 Sm 2.93, 2 Na 2.93
5 Na 0.0000 0.0000 0.0000  6 Se 2.90-2.93
6 Sc 0.0000 0.5000 0.5000  6 Se 2.76-2.78
7 Se 0.5000 0.2568 0.2716  3 Sc 2.76, 1 Sm 2.93, 2 Na 2.93
8 Sc 0.5000 0.0000 0.5000  6 Se 2.76

---

[19]
Na2SmSc3Se6 | PBE | relaxed

Fermi-level density of states, states/eV per cell: 4.25
V, Å³/f.u.: 275.35
Symmetry: C2/m (12)
ΔE_f (raw), kJ/mol of atoms: -156.86

abc: 6.8727 6.8727 7.1090
angles: 99.28 99.28 119.97
Last column: nearest neighbours and their distance in Å.
Element x y z (fractional)
1 Se 0.9098 0.5763 0.7296  3 Sc 2.76, 2 Na 2.93, 1 Sm 2.93
2 Se 0.5763 0.9098 0.7296  3 Sc 2.76, 2 Na 2.93, 1 Sm 2.93
3 Se 0.7574 0.7574 0.2718  3 Sc 2.76, 2 Na 2.93, 1 Sm 2.93
4 Sm 0.0000 0.0000 0.0000  6 Se 2.93
5 Na 0.3334 0.6666 0.0000  6 Se 2.93
6 Sc 0.5000 0.5000 0.5000  6 Se 2.76
7 Sc 0.1672 0.8328 0.5000  6 Se 2.76
8 Se 0.2426 0.2426 0.7282  3 Sc 2.76, 2 Na 2.93, 1 Sm 2.93
9 Na 0.6666 0.3334 0.0000  6 Se 2.93
10 Se 0.0902 0.4237 0.2705  3 Sc 2.76, 2 Na 2.93, 1 Sm 2.93
11 Se 0.4237 0.0902 0.2705  3 Sc 2.76, 2 Na 2.93, 1 Sm 2.93
12 Sc 0.8328 0.1672 0.5000  6 Se 2.76

---

[20]
Na3SmSc2Se6 | PBE | relaxed

Fermi-level density of states, states/eV per cell: 0.00
V, Å³/f.u.: 296.46
Symmetry: C2/m (12)
ΔE_f (raw), kJ/mol of atoms: -155.52

abc: 7.0048 7.0048 7.3633
angles: 99.17 99.17 120.03
Last column: nearest neighbours and their distance in Å.
Element x y z (fractional)
1 Sc 0.3326 0.6674 0.0000  6 Se 2.75-2.77
2 Se 0.5747 0.9252 0.7770  2 Sc 2.75-2.76, 1 Sm 2.91, 2 Na 2.97-3.08
3 Se 0.7240 0.7240 0.2233  2 Sc 2.77, 1 Sm 2.91, 3 Na 2.94-3.05
4 Na 0.1630 0.8370 0.5000  6 Se 2.97-3.09
5 Na 0.8370 0.1630 0.5000  6 Se 2.97-3.09
6 Se 0.2759 0.2759 0.7767  2 Sc 2.77, 1 Sm 2.91, 3 Na 2.94-3.05
7 Sc 0.6674 0.3326 0.0000  6 Se 2.75-2.77
8 Se 0.0748 0.4253 0.2230  2 Sc 2.75-2.76, 1 Sm 2.91, 2 Na 2.97-3.08
9 Se 0.9252 0.5747 0.7770  2 Sc 2.75-2.76, 1 Sm 2.91, 2 Na 2.97-3.08
10 Se 0.4253 0.0748 0.2230  2 Sc 2.75-2.76, 1 Sm 2.91, 2 Na 2.97-3.08
11 Na 0.5000 0.5000 0.5000  6 Se 2.94-3.08
12 Sm 0.0000 0.0000 0.0000  6 Se 2.91